1.
Compound: LiCuP2Cl
Source: the Alexandria database
Functional: GGA-PBE
Structure: relaxed

a b c (Å): 4.252 4.252 7.465
angles (deg): 90.00 90.00 90.00
Fractional positions:
Li 0.000 0.000 0.000
Cu 0.500 0.500 0.500
P 0.000 0.500 0.500
P 0.500 0.000 0.500
Cl 0.500 0.500 0.000

The density of states at the Fermi level comes out at 2.74 states/eV/f.u. Its uncorrected formation energy is 0.788 eV/f.u. The value obtained for the energy above the most stable polymorph in this dataset is 0.0 kJ per mole of atoms.


2.
Compound: LiCu2PbCl6
Source: the Alexandria database
Functional: GGA-PBE
Structure: relaxed

a b c (Å): 8.860 8.860 7.133
angles (deg): 102.90 102.90 84.38
Fractional positions:
Li 0.227 0.773 0.750
Li 0.773 0.227 0.250
Cu 0.250 0.388 0.266
Cu 0.388 0.250 0.766
Cu 0.612 0.750 0.234
Cu 0.750 0.612 0.734
Pb 0.115 0.885 0.250
Pb 0.885 0.115 0.750
Cl 0.034 0.203 0.165
Cl 0.151 0.617 0.427
Cl 0.203 0.034 0.665
Cl 0.271 0.426 0.972
Cl 0.383 0.849 0.073
Cl 0.426 0.271 0.472
Cl 0.574 0.729 0.528
Cl 0.617 0.151 0.927
Cl 0.729 0.574 0.028
Cl 0.797 0.966 0.335
Cl 0.849 0.383 0.573
Cl 0.966 0.797 0.835

The density of states at the Fermi level comes out at 5.83 states/eV/f.u. Its uncorrected formation energy is -9.270 eV/f.u.


3.
Compound: LiCu2PdCl6
Source: the Alexandria database
Functional: GGA-PBE
Structure: relaxed

a b c (Å): 6.299 6.494 6.844
angles (deg): 86.22 69.81 70.92
Fractional positions:
Li 0.000 0.000 0.000
Cu 0.412 0.394 0.967
Cu 0.446 0.839 0.354
Pd 0.928 0.566 0.675
Cl 0.084 0.347 0.918
Cl 0.161 0.789 0.662
Cl 0.328 0.738 0.105
Cl 0.562 0.123 0.164
Cl 0.724 0.334 0.662
Cl 0.760 0.801 0.459

The density of states at the Fermi level comes out at 5.19 states/eV/f.u. Its uncorrected formation energy is -7.138 eV/f.u.


4.
Compound: Li2CuPdCl6
Source: the Alexandria database
Functional: GGA-PBE
Structure: relaxed

a b c (Å): 6.247 6.411 6.708
angles (deg): 69.18 62.73 61.13
Fractional positions:
Li 0.000 0.000 0.000
Li 0.457 0.483 0.504
Cu 0.150 0.190 0.439
Pd 0.660 0.700 0.937
Cl 0.035 0.791 0.716
Cl 0.284 0.618 0.176
Cl 0.370 0.108 0.669
Cl 0.559 0.939 0.194
Cl 0.758 0.444 0.695
Cl 0.911 0.292 0.222

The density of states at the Fermi level comes out at 4.32 states/eV/f.u. Its uncorrected formation energy is -9.625 eV/f.u.


5.
Compound: LiCuPdCl6
Source: the Alexandria database
Functional: GGA-PBE
Structure: relaxed

a b c (Å): 6.013 6.013 10.685
angles (deg): 90.00 90.00 90.00
Fractional positions:
Li 0.000 0.000 0.000
Li 0.500 0.500 0.500
Cu 0.000 0.000 0.324
Cu 0.500 0.500 0.824
Pd 0.000 0.000 0.664
Pd 0.500 0.500 0.164
Cl 0.181 0.181 0.496
Cl 0.188 0.188 0.825
Cl 0.196 0.196 0.175
Cl 0.304 0.696 0.675
Cl 0.312 0.688 0.325
Cl 0.319 0.681 0.996
Cl 0.681 0.319 0.996
Cl 0.688 0.312 0.325
Cl 0.696 0.304 0.675
Cl 0.804 0.804 0.175
Cl 0.812 0.812 0.825
Cl 0.819 0.819 0.496

The density of states at the Fermi level comes out at 3.52 states/eV/f.u. Its uncorrected formation energy is -6.361 eV/f.u.


6.
Compound: RbLiCuCl3
Source: the Alexandria database
Functional: GGA-PBE
Structure: relaxed

a b c (Å): 6.979 6.979 7.771
angles (deg): 109.02 109.02 71.27
Fractional positions:
Rb 0.197 0.197 0.152
Rb 0.803 0.803 0.848
Li 0.416 0.416 0.727
Li 0.584 0.584 0.273
Cu 0.171 0.829 0.500
Cu 0.829 0.171 0.500
Cl 0.198 0.198 0.574
Cl 0.226 0.691 0.208
Cl 0.309 0.774 0.792
Cl 0.691 0.226 0.208
Cl 0.774 0.309 0.792
Cl 0.802 0.802 0.426

The density of states at the Fermi level comes out at 0.00 states/eV/f.u. Its uncorrected formation energy is -8.101 eV/f.u.


7.
Compound: Rb2LiCuCl5
Source: the Alexandria database
Functional: GGA-PBE
Structure: relaxed

a b c (Å): 9.850 9.850 13.381
angles (deg): 90.00 90.00 156.31
Fractional positions:
Rb 0.128 0.872 0.500
Rb 0.135 0.865 0.136
Rb 0.865 0.135 0.636
Rb 0.872 0.128 0.000
Li 0.220 0.780 0.863
Li 0.780 0.220 0.363
Cu 0.437 0.563 0.247
Cu 0.563 0.437 0.747
Cl 0.041 0.959 0.825
Cl 0.300 0.700 0.465
Cl 0.325 0.675 0.199
Cl 0.337 0.663 0.820
Cl 0.496 0.504 0.101
Cl 0.504 0.496 0.601
Cl 0.663 0.337 0.320
Cl 0.675 0.325 0.699
Cl 0.700 0.300 0.965
Cl 0.959 0.041 0.325

The density of states at the Fermi level comes out at 5.98 states/eV/f.u. Its uncorrected formation energy is -12.550 eV/f.u.


8.
Compound: Rb3Li2CuCl6
Source: the Alexandria database
Functional: GGA-PBE
Structure: relaxed

a b c (Å): 7.349 7.349 8.254
angles (deg): 90.00 90.00 120.00
Fractional positions:
Rb 0.000 0.000 0.000
Rb 0.333 0.667 0.636
Rb 0.667 0.333 0.364
Li 0.333 0.667 0.241
Li 0.667 0.333 0.759
Cu 0.000 0.000 0.500
Cl 0.162 0.325 0.304
Cl 0.162 0.838 0.304
Cl 0.325 0.162 0.696
Cl 0.675 0.838 0.304
Cl 0.838 0.162 0.696
Cl 0.838 0.675 0.696

Its uncorrected formation energy is -18.130 eV/f.u.